Entry 1:
This record from Alexandria describes a relaxed structure of NaTl2N. The functional is GGA-PBE.

Lattice parameters (Å, degrees): 8.1868 8.1868 5.3763 90.00 90.00 90.00
Space group I-42d (No. 122)
One atom of each set of equivalent atoms:
Na: 0.0000 0.0000 0.0000 [4 per cell]
Tl: 0.1513 0.2500 0.6250 [8 per cell]
N: 0.0000 0.0000 0.5000 [4 per cell]

Calculated values
Crystal system   tetragonal
Excess energy over the best structure of this formula in the dataset   76 meV per atom
E   -3.1612 eV per atom


Entry 2:
This record from Alexandria describes a relaxed structure of Na2TlN. The functional is GGA-PBE.

Lattice parameters (Å, degrees): 6.7395 6.7395 6.7395 90.00 90.00 90.00
Space group Fm-3m (No. 225)
One atom of each set of equivalent atoms:
Na: 0.2500 0.2500 0.2500 [8 per cell]
Tl: 0.0000 0.0000 0.0000 [4 per cell]
N: 0.0000 0.0000 0.5000 [4 per cell]

Calculated values
Crystal system   cubic
Excess energy over the best structure of this formula in the dataset   0 meV per atom
E   -2.6726 eV per atom


Entry 3:
This record from Alexandria describes a relaxed structure of NaTlN. The functional is GGA-PBE.

Lattice parameters (Å, degrees): 10.8206 3.6668 6.1390 90.00 98.07 90.00
Space group C2/m (No. 12)
One atom of each set of equivalent atoms:
Na: 0.1549 0.0000 0.3711 [4 per cell]
Tl: 0.1236 0.5000 0.9136 [4 per cell]
N: 0.2109 0.0000 0.7642 [4 per cell]

Calculated values
Crystal system   monoclinic
Excess energy over the best structure of this formula in the dataset   469 meV per atom
E   -3.5977 eV per atom


Entry 4:
This record from Alexandria describes a relaxed structure of NaTl2N. The functional is GGA-PBE.

Lattice parameters (Å, degrees): 6.2653 3.6151 8.2419 90.00 104.76 90.00
Space group C2/m (No. 12)
One atom of each set of equivalent atoms:
Na: 0.0000 0.0000 0.0000 [2 per cell]
Tl: 0.2254 0.0000 0.6753 [4 per cell]
N: 0.0000 0.5000 0.5000 [2 per cell]

Calculated values
Crystal system   monoclinic
Excess energy over the best structure of this formula in the dataset   0 meV per atom
E   -3.2370 eV per atom


Entry 5:
This record from Alexandria describes a relaxed structure of NaTl2N. The functional is GGA-PBE.

Lattice parameters (Å, degrees): 6.9957 6.9957 6.9957 90.00 90.00 90.00
Space group Fm-3m (No. 225)
One atom of each set of equivalent atoms:
Na: 0.0000 0.0000 0.0000 [4 per cell]
Tl: 0.2500 0.2500 0.2500 [8 per cell]
N: 0.0000 0.0000 0.5000 [4 per cell]

Calculated values
Crystal system   cubic
Excess energy over the best structure of this formula in the dataset   430 meV per atom
E   -2.8066 eV per atom


Entry 6:
This record from Alexandria describes a relaxed structure of Na2TlN. The functional is GGA-PBE.

Lattice parameters (Å, degrees): 6.0709 6.0709 12.9010 90.00 90.00 90.00
Space group I-42d (No. 122)
One atom of each set of equivalent atoms:
Na: 0.0044 0.2500 0.1250 [8 per cell]
Tl: 0.0000 0.0000 0.5000 [4 per cell]
N: 0.0000 0.0000 0.0000 [4 per cell]

Calculated values
Crystal system   tetragonal
Excess energy over the best structure of this formula in the dataset   29 meV per atom
E   -2.6437 eV per atom


Entry 7:
This record from Alexandria describes a relaxed structure of Na2TlVN. The functional is GGA-PBE.

Lattice parameters (Å, degrees): 5.8775 5.8775 5.3128 90.00 90.00 90.00
Space group P4/mmm (No. 123)
One atom of each set of equivalent atoms:
Na: 0.0000 0.5000 0.0000 [2 per cell]
Tl: 0.0000 0.0000 0.0000 [1 per cell]
V: 0.0000 0.0000 0.5000 [1 per cell]
N: 0.5000 0.5000 0.5000 [1 per cell]

Calculated values
Crystal system   tetragonal
E   -2.8447 eV per atom


Entry 8:
This record from Alexandria describes a relaxed structure of NaYTl2N. The functional is GGA-PBE.

Lattice parameters (Å, degrees): 5.4761 5.4761 4.4339 90.00 90.00 90.00
Space group P4/mmm (No. 123)
One atom of each set of equivalent atoms:
Na: 0.0000 0.0000 0.0000 [1 per cell]
Y: 0.5000 0.5000 0.0000 [1 per cell]
Tl: 0.0000 0.5000 0.5000 [2 per cell]
N: 0.5000 0.5000 0.5000 [1 per cell]

Calculated values
Crystal system   tetragonal
E   -4.1997 eV per atom


Entry 9:
This record from Alexandria describes a relaxed structure of Na2TlZnN. The functional is GGA-PBE.

Lattice parameters (Å, degrees): 5.2557 5.2557 3.7587 90.00 90.00 90.00
Space group P4/mmm (No. 123)
One atom of each set of equivalent atoms:
Na: 0.0000 0.5000 0.0000 [2 per cell]
Tl: 0.0000 0.0000 0.5000 [1 per cell]
Zn: 0.5000 0.5000 0.5000 [1 per cell]
N: 0.5000 0.5000 0.0000 [1 per cell]

Calculated values
Crystal system   tetragonal
E   -2.8081 eV per atom


Entry 10:
This record from Alexandria describes a relaxed structure of NaZrTlN2. The functional is GGA-PBE.

Lattice parameters (Å, degrees): 4.2664 4.2664 5.9550 90.00 90.00 90.00
Space group P4/mmm (No. 123)
One atom of each set of equivalent atoms:
Na: 0.0000 0.0000 0.0000 [1 per cell]
Zr: 0.0000 0.0000 0.5000 [1 per cell]
Tl: 0.5000 0.5000 0.0000 [1 per cell]
N: 0.0000 0.5000 0.5000 [2 per cell]

Calculated values
Crystal system   tetragonal
E   -5.2581 eV per atom


Entry 11:
This record from Alexandria describes a relaxed structure of NaTmN. The functional is GGA-PBE.

Lattice parameters (Å, degrees): 6.1175 3.5481 6.1665 90.00 92.80 90.00
Space group P2_1/m (No. 11)
One atom of each set of equivalent atoms:
Na: 0.0861 0.2500 0.2022 [2 per cell]
Tm: 0.4173 0.2500 0.7972 [2 per cell]
N: 0.3002 0.7500 0.9690 [2 per cell]

Calculated values
Crystal system   monoclinic
E   -5.4531 eV per atom


Entry 12:
This record from Alexandria describes a relaxed structure of NaTm2N. The functional is GGA-PBE.

Lattice parameters (Å, degrees): 3.4049 3.4049 28.4899 90.00 90.00 120.00
Space group R-3m (No. 166, hexagonal axes)
One atom of each set of equivalent atoms:
Na: 0.0000 0.0000 0.0000 [3 per cell]
Tm: 0.0000 0.0000 0.1206 [6 per cell]
N: 0.0000 0.0000 0.5000 [3 per cell]

Calculated values
Crystal system   trigonal
E   -5.3319 eV per atom


Entry 13:
This record from Alexandria describes a relaxed structure of Na3TmU3N8. The functional is GGA-PBE.

Lattice parameters (Å, degrees): 6.9526 6.9526 17.0683 90.00 90.00 120.00
Space group R-3m (No. 166, hexagonal axes)
One atom of each set of equivalent atoms:
Na: 0.0000 0.5000 0.0000 [9 per cell]
Tm: 0.0000 0.0000 0.5000 [3 per cell]
U: 0.0000 0.5000 0.5000 [9 per cell]
N: 0.0000 0.0000 0.2294 [6 per cell]
N: 0.0209 0.5104 0.7769 [18 per cell]

Calculated values
Crystal system   trigonal
E   -8.3236 eV per atom


Entry 14:
This record from Alexandria describes a relaxed structure of Na2UN2. The functional is GGA-PBE.

Lattice parameters (Å, degrees): 3.5198 3.5198 26.7930 90.00 90.00 120.00
Space group R-3m (No. 166, hexagonal axes)
One atom of each set of equivalent atoms:
Na: 0.0000 0.0000 0.2262 [6 per cell]
U: 0.0000 0.0000 0.0000 [3 per cell]
N: 0.0000 0.0000 0.3713 [6 per cell]

Calculated values
Crystal system   trigonal
E   -6.9029 eV per atom


Entry 15:
This record from Alexandria describes a relaxed structure of Na2UN3. The functional is GGA-PBE.

Lattice parameters (Å, degrees): 5.8166 10.7436 5.9765 90.00 106.98 90.00
Space group C2/m (No. 12)
One atom of each set of equivalent atoms:
Na: 0.0000 0.0000 0.0000 [2 per cell]
Na: 0.0000 0.1603 0.5000 [4 per cell]
Na: 0.0000 0.5000 0.5000 [2 per cell]
U: 0.0000 0.3400 0.0000 [4 per cell]
N: 0.1892 0.5000 0.1922 [4 per cell]
N: 0.2114 0.3159 0.7996 [8 per cell]

Calculated values
Crystal system   monoclinic
E   -7.1603 eV per atom


Entry 16:
This record from Alexandria describes a relaxed structure of NaUN. The functional is GGA-PBE.

Lattice parameters (Å, degrees): 16.9778 3.6728 4.5182 90.00 95.19 90.00
Space group C2/m (No. 12)
One atom of each set of equivalent atoms:
Na: 0.0784 0.0000 0.2787 [4 per cell]
U: 0.2307 0.5000 0.8082 [4 per cell]
N: 0.1964 0.5000 0.3292 [4 per cell]

Calculated values
Crystal system   monoclinic
E   -7.3873 eV per atom


Entry 17:
This record from Alexandria describes a relaxed structure of NaU2N4. The functional is GGA-PBE.

Lattice parameters (Å, degrees): 7.2708 7.2708 6.8330 90.00 90.00 90.00
Space group I-42d (No. 122)
One atom of each set of equivalent atoms:
Na: 0.0000 0.0000 0.0000 [4 per cell]
U: 0.1797 0.2500 0.6250 [8 per cell]
N: 0.0707 0.1983 0.3412 [16 per cell]

Calculated values
Crystal system   tetragonal
E   -9.1630 eV per atom


Entry 18:
This record from Alexandria describes a relaxed structure of NaUVN4. The functional is GGA-PBE.

Lattice parameters (Å, degrees): 5.7390 5.5513 7.3119 90.00 108.64 90.00
Space group P2_1/m (No. 11)
One atom of each set of equivalent atoms:
Na: 0.1480 0.2500 0.1405 [2 per cell]
U: 0.2703 0.7500 0.4542 [2 per cell]
V: 0.2799 0.2500 0.6868 [2 per cell]
N: 0.0266 0.2500 0.7938 [2 per cell]
N: 0.0610 0.2500 0.4528 [2 per cell]
N: 0.4862 0.0066 0.6790 [4 per cell]

Calculated values
Crystal system   monoclinic
E   -8.6543 eV per atom


Entry 19:
This record from Alexandria describes a relaxed structure of Na3U3VN8. The functional is GGA-PBE.

Lattice parameters (Å, degrees): 6.7329 6.7329 17.0397 90.00 90.00 120.00
Space group R-3m (No. 166, hexagonal axes)
One atom of each set of equivalent atoms:
Na: 0.0000 0.5000 0.0000 [9 per cell]
U: 0.0000 0.5000 0.5000 [9 per cell]
V: 0.0000 0.0000 0.5000 [3 per cell]
N: 0.0000 0.0000 0.2308 [6 per cell]
N: 0.0082 0.5041 0.2238 [18 per cell]

Calculated values
Crystal system   trigonal
E   -8.4689 eV per atom


Entry 20:
This record from Alexandria describes a relaxed structure of Na2UWN4. The functional is GGA-PBE.

Lattice parameters (Å, degrees): 5.6256 3.2784 6.0026 90.00 107.83 90.00
Space group P2/m (No. 10)
One atom of each set of equivalent atoms:
Na: 0.0000 0.0000 0.0000 [1 per cell]
Na: 0.5000 0.5000 0.0000 [1 per cell]
U: 0.0000 0.5000 0.5000 [1 per cell]
W: 0.5000 0.0000 0.5000 [1 per cell]
N: 0.2474 0.0000 0.6931 [2 per cell]
N: 0.2805 0.5000 0.3104 [2 per cell]

Calculated values
Crystal system   monoclinic
E   -8.2055 eV per atom